A relaxed structure of Sr2ZrPIr. Source: Alexandria via LeMat-Bulk, functional PBE.

Energy of formation from the pure elements ... 415 kJ/mol of formula units
Crystal system ... tetragonal

The structure in POSCAR format:
```
Sr2ZrPIr
1.0
6.145 0.000 0.000
0.000 6.145 0.000
0.000 0.000 4.701
Sr Zr P Ir
2 1 1 1
Cartesian
0.000 3.073 0.000 Sr
3.073 0.000 0.000 Sr
0.000 0.000 0.000 Zr
3.073 3.073 2.351 P
0.000 0.000 2.351 Ir
```